Entry 1:
Computed, not measured: crystalline Al8MoIr2 at its relaxed geometry at the GGA-PBE level of DFT.

## Properties
size of the total moment	0.54	μB per cell
energy	-64.9	eV/cell
density of states at the Fermi level	1.811	states/eV/cell
E_form	-0.5786	eV per atom

abc: 6.9861 6.9861 6.9861
angles: 146.14 115.00 75.35
Fractional positions:
Al (0.1213, 0.3410, 0.7803)
Al (0.1500, 0.1500, 0.0000)
Al (0.3125, 0.0000, 0.3125)
Al (0.4394, 0.6590, 0.7803)
Al (0.5606, 0.3410, 0.2197)
Al (0.6875, 0.0000, 0.6875)
Al (0.8500, 0.8500, 0.0000)
Al (0.8787, 0.6590, 0.2197)
Mo (0.0000, 0.5000, 0.5000)
Ir (0.2986, 0.7986, 0.5000)
Ir (0.7014, 0.2014, 0.5000)

=====

Entry 2:
Computed, not measured: crystalline Al2MoIr at its relaxed geometry at the GGA-PBE level of DFT.

## Properties
size of the total moment	0.00	μB per cell
energy	-28.5	eV/cell
energy relative to the lowest polymorph listed for this composition	171	meV/atom
density of states at the Fermi level	2.789	states/eV/cell
E_form	-0.3258	eV per atom

abc: 2.8068 4.1158 5.2277
angles: 90.00 95.84 90.00
Fractional positions:
Al (0.1731, 0.0000, 0.2523)
Al (0.8269, 0.0000, 0.7477)
Mo (0.5000, 0.5000, 0.0000)
Ir (0.0000, 0.5000, 0.5000)

=====

Entry 3:
Computed, not measured: crystalline AlMo2Ir at its relaxed geometry at the GGA-PBE level of DFT.

## Properties
size of the total moment	0.00	μB per cell
energy	-33.9	eV/cell
energy relative to the lowest polymorph listed for this composition	410	meV/atom
density of states at the Fermi level	6.207	states/eV/cell
E_form	0.0802	eV per atom

abc: 4.4254 4.4254 4.4254
angles: 60.00 60.00 60.00
Fractional positions:
Al (0.0000, 0.0000, 0.0000)
Mo (0.2500, 0.2500, 0.2500)
Mo (0.7500, 0.7500, 0.7500)
Ir (0.5000, 0.5000, 0.5000)

=====

Entry 4:
Computed, not measured: crystalline Al2MoIr at its relaxed geometry at the GGA-PBE level of DFT.

## Properties
size of the total moment	0.00	μB per cell
energy	-28.7	eV/cell
energy relative to the lowest polymorph listed for this composition	107	meV/atom
density of states at the Fermi level	2.327	states/eV/cell
E_form	-0.3893	eV per atom

abc: 5.3547 5.3547 5.3547
angles: 147.87 132.68 58.35
Fractional positions:
Al (0.0000, 0.0000, 0.0000)
Al (0.7241, 0.2241, 0.5000)
Mo (0.2534, 0.7534, 0.5000)
Ir (0.4955, 0.4955, 0.0000)

=====

Entry 5:
Computed, not measured: crystalline AlMo2Ir at its relaxed geometry at the GGA-PBE level of DFT.

## Properties
size of the total moment	0.00	μB per cell
energy	-34.6	eV/cell
energy relative to the lowest polymorph listed for this composition	245	meV/atom
density of states at the Fermi level	3.045	states/eV/cell
E_form	-0.0850	eV per atom

abc: 9.1073 9.1073 9.1073
angles: 17.77 17.77 17.77
Fractional positions:
Al (0.0000, 0.0000, 0.0000)
Mo (0.2490, 0.2490, 0.2490)
Mo (0.4921, 0.4921, 0.4921)
Ir (0.7449, 0.7449, 0.7449)

=====

Entry 6:
Computed, not measured: crystalline Al2MoIr at its relaxed geometry at the GGA-PBE level of DFT.

## Properties
size of the total moment	0.00	μB per cell
energy	-28.5	eV/cell
energy relative to the lowest polymorph listed for this composition	164	meV/atom
density of states at the Fermi level	4.349	states/eV/cell
E_form	-0.3319	eV per atom

abc: 4.9841 4.9841 4.9841
angles: 135.84 135.84 64.22
Fractional positions:
Al (0.0000, 0.0000, 0.0000)
Al (0.7500, 0.2500, 0.5000)
Mo (0.5000, 0.5000, 0.0000)
Ir (0.2500, 0.7500, 0.5000)

=====

Entry 7:
Computed, not measured: crystalline Nb2AlMoIr at its relaxed geometry at the GGA-PBE level of DFT.

## Properties
size of the total moment	0.00	μB per cell
energy	-37.2	eV/cell
density of states at the Fermi level	5.592	states/eV/cell
E_form	1.2830	eV per atom

abc: 4.7148 4.7148 4.6806
angles: 90.00 90.00 90.00
Fractional positions:
Nb (0.0000, 0.5000, 0.0000)
Nb (0.5000, 0.0000, 0.0000)
Al (0.0000, 0.0000, 0.5000)
Mo (0.0000, 0.0000, 0.0000)
Ir (0.5000, 0.5000, 0.5000)

=====

Entry 8:
Computed, not measured: crystalline AlNiMo2Ir at its relaxed geometry at the GGA-PBE level of DFT.

## Properties
size of the total moment	0.00	μB per cell
energy	-35.3	eV/cell
density of states at the Fermi level	6.400	states/eV/cell
E_form	0.9454	eV per atom

abc: 4.4477 4.4477 4.2099
angles: 90.00 90.00 90.00
Fractional positions:
Al (0.0000, 0.0000, 0.0000)
Ni (0.0000, 0.0000, 0.5000)
Mo (0.0000, 0.5000, 0.5000)
Mo (0.5000, 0.0000, 0.5000)
Ir (0.5000, 0.5000, 0.0000)

=====

What is the size of the total moment in the first record?
0.54 μB per cell

=====

Which of these has the lowest density of states at the Fermi level?
Al8MoIr2

=====

Copy entry 2 word for word.
Computed, not measured: crystalline Al2MoIr at its relaxed geometry at the GGA-PBE level of DFT.

## Properties
size of the total moment	0.00	μB per cell
energy	-28.5	eV/cell
energy relative to the lowest polymorph listed for this composition	171	meV/atom
density of states at the Fermi level	2.789	states/eV/cell
E_form	-0.3258	eV per atom

abc: 2.8068 4.1158 5.2277
angles: 90.00 95.84 90.00
Fractional positions:
Al (0.1731, 0.0000, 0.2523)
Al (0.8269, 0.0000, 0.7477)
Mo (0.5000, 0.5000, 0.0000)
Ir (0.0000, 0.5000, 0.5000)